Record 1
Entry from Alexandria: a geometry-optimized Ca2CrIr structure (PBE).

Results
The calculation puts the formation energy at 0.2760 eV/atom. The value obtained for the calculated total energy is -5.346 eV per atom. The energy above the most stable polymorph in this dataset comes out at 0.298 eV/atom.

a = 10.4833 Å, b = 10.4833 Å, c = 4.7319 Å
α = 90.00°, β = 90.00°, γ = 90.00°
Closest atoms and distances in Å follow each position.
Fractional coordinates of all 16 atoms:
Ca (0.0840, 0.2500, 0.1250)  2 Ir 2.83
Ca (0.2500, 0.5840, 0.3750)  2 Ir 2.83
Ca (0.2500, 0.9160, 0.8750)  2 Ir 2.83
Ca (0.4160, 0.2500, 0.6250)  2 Ir 2.83
Ca (0.5840, 0.7500, 0.6250)  2 Ir 2.83
Ca (0.7500, 0.0840, 0.8750)  2 Ir 2.83
Ca (0.7500, 0.4160, 0.3750)  2 Ir 2.83
Ca (0.9160, 0.7500, 0.1250)  2 Ir 2.83
Cr (0.0000, 0.0000, 0.5000)  2 Ir 2.37
Cr (0.0000, 0.5000, 0.7500)  2 Ir 2.37
Cr (0.5000, 0.0000, 0.2500)  2 Ir 2.37
Cr (0.5000, 0.5000, 0.0000)  2 Ir 2.37
Ir (0.0000, 0.0000, 0.0000)  2 Cr 2.37
Ir (0.0000, 0.5000, 0.2500)  2 Cr 2.37
Ir (0.5000, 0.0000, 0.7500)  2 Cr 2.37
Ir (0.5000, 0.5000, 0.5000)  2 Cr 2.37

=====

Record 2
Entry from Alexandria: a geometry-optimized Ca2CrIr structure (PBE).

Results
The calculation puts the formation energy at 0.1950 eV/atom. The value obtained for the calculated total energy is -5.427 eV per atom. The energy above the most stable polymorph in this dataset comes out at 0.217 eV/atom.

a = 7.0739 Å, b = 7.0739 Å, c = 7.0739 Å
α = 90.00°, β = 90.00°, γ = 90.00°
Closest atoms and distances in Å follow each position.
Fractional coordinates of all 16 atoms:
Ca (0.2500, 0.2500, 0.2500)  4 Cr 3.06, 4 Ir 3.06
Ca (0.2500, 0.2500, 0.7500)  4 Cr 3.06, 4 Ir 3.06
Ca (0.2500, 0.7500, 0.2500)  4 Cr 3.06, 4 Ir 3.06
Ca (0.2500, 0.7500, 0.7500)  4 Cr 3.06, 4 Ir 3.06
Ca (0.7500, 0.2500, 0.2500)  4 Cr 3.06, 4 Ir 3.06
Ca (0.7500, 0.2500, 0.7500)  4 Cr 3.06, 4 Ir 3.06
Ca (0.7500, 0.7500, 0.2500)  4 Cr 3.06, 4 Ir 3.06
Ca (0.7500, 0.7500, 0.7500)  4 Cr 3.06, 4 Ir 3.06
Cr (0.0000, 0.0000, 0.0000)  8 Ca 3.06
Cr (0.0000, 0.5000, 0.5000)  8 Ca 3.06
Cr (0.5000, 0.0000, 0.5000)  8 Ca 3.06
Cr (0.5000, 0.5000, 0.0000)  8 Ca 3.06
Ir (0.0000, 0.0000, 0.5000)  8 Ca 3.06
Ir (0.0000, 0.5000, 0.0000)  8 Ca 3.06
Ir (0.5000, 0.0000, 0.0000)  8 Ca 3.06
Ir (0.5000, 0.5000, 0.5000)  8 Ca 3.06

=====

Record 3
Entry from Alexandria: a geometry-optimized Ca2CrIr structure (PBE).

Results
The calculation puts the formation energy at 0.5160 eV/atom. The value obtained for the calculated total energy is -5.106 eV per atom. The energy above the most stable polymorph in this dataset comes out at 0.538 eV/atom.

a = 3.3765 Å, b = 3.3765 Å, c = 29.1850 Å
α = 90.00°, β = 90.00°, γ = 120.00°
Closest atoms and distances in Å follow each position.
Fractional coordinates of all 12 atoms:
Ca (0.0000, 0.0000, 0.2383)  3 Ir 2.86
Ca (0.0000, 0.0000, 0.7617)  3 Ir 2.86
Ca (0.3333, 0.6667, 0.4284)  3 Ir 2.86
Ca (0.3333, 0.6667, 0.9050)  3 Ir 2.86
Ca (0.6667, 0.3333, 0.0950)  3 Ir 2.86
Ca (0.6667, 0.3333, 0.5716)  3 Ir 2.86
Cr (0.0000, 0.0000, 0.0000)  6 Cr 3.38, 6 Ca 3.39
Cr (0.3333, 0.6667, 0.6667)  6 Cr 3.38, 6 Ca 3.39
Cr (0.6667, 0.3333, 0.3333)  6 Cr 3.38, 6 Ca 3.39
Ir (0.0000, 0.0000, 0.5000)  6 Ca 2.86
Ir (0.3333, 0.6667, 0.1667)  6 Ca 2.86
Ir (0.6667, 0.3333, 0.8333)  6 Ca 2.86

=====

Record 4
Entry from Alexandria: a geometry-optimized CaCrIr structure (PBE).

Results
The calculation puts the formation energy at 0.1087 eV/atom. The value obtained for the calculated total energy is -6.720 eV per atom. The energy above the most stable polymorph in this dataset comes out at 0.004 eV/atom.

a = 4.0244 Å, b = 4.0244 Å, c = 4.6762 Å
α = 90.00°, β = 90.00°, γ = 120.00°
Closest atoms and distances in Å follow each position.
Fractional coordinates of all 3 atoms:
Ca (0.0000, 0.0000, 0.0000)  6 Ir 3.29-3.30, 6 Cr 3.29-3.30
Cr (0.6667, 0.3333, 0.4989)  3 Ir 2.32
Ir (0.3333, 0.6667, 0.5012)  3 Cr 2.32

=====

Record 5
Entry from Alexandria: a geometry-optimized CaCr2Ir structure (PBE).

Results
The calculation puts the formation energy at 0.6228 eV/atom. The value obtained for the calculated total energy is -6.904 eV per atom. The energy above the most stable polymorph in this dataset comes out at 0.394 eV/atom.

a = 6.1979 Å, b = 6.1979 Å, c = 6.1979 Å
α = 90.00°, β = 90.00°, γ = 90.00°
Closest atoms and distances in Å follow each position.
Fractional coordinates of all 16 atoms:
Ca (0.0000, 0.0000, 0.0000)  8 Cr 2.68
Ca (0.0000, 0.5000, 0.5000)  8 Cr 2.68
Ca (0.5000, 0.0000, 0.5000)  8 Cr 2.68
Ca (0.5000, 0.5000, 0.0000)  8 Cr 2.68
Cr (0.2500, 0.2500, 0.2500)  4 Ca 2.68, 4 Ir 2.68
Cr (0.2500, 0.2500, 0.7500)  4 Ca 2.68, 4 Ir 2.68
Cr (0.2500, 0.7500, 0.2500)  4 Ca 2.68, 4 Ir 2.68
Cr (0.2500, 0.7500, 0.7500)  4 Ca 2.68, 4 Ir 2.68
Cr (0.7500, 0.2500, 0.2500)  4 Ca 2.68, 4 Ir 2.68
Cr (0.7500, 0.2500, 0.7500)  4 Ca 2.68, 4 Ir 2.68
Cr (0.7500, 0.7500, 0.2500)  4 Ca 2.68, 4 Ir 2.68
Cr (0.7500, 0.7500, 0.7500)  4 Ca 2.68, 4 Ir 2.68
Ir (0.0000, 0.0000, 0.5000)  8 Cr 2.68
Ir (0.0000, 0.5000, 0.0000)  8 Cr 2.68
Ir (0.5000, 0.0000, 0.0000)  8 Cr 2.68
Ir (0.5000, 0.5000, 0.5000)  8 Cr 2.68

=====

Record 6
Entry from Alexandria: a geometry-optimized CaCr2Ir structure (PBE).

Results
The calculation puts the formation energy at 0.3585 eV/atom. The value obtained for the calculated total energy is -7.169 eV per atom. The energy above the most stable polymorph in this dataset comes out at 0.130 eV/atom.

a = 6.4840 Å, b = 6.4840 Å, c = 6.4840 Å
α = 90.00°, β = 90.00°, γ = 90.00°
Closest atoms and distances in Å follow each position.
Fractional coordinates of all 16 atoms:
Ca (0.0000, 0.0000, 0.0000)  4 Cr 2.81, 4 Ir 2.81
Ca (0.0000, 0.5000, 0.5000)  4 Cr 2.81, 4 Ir 2.81
Ca (0.5000, 0.0000, 0.5000)  4 Cr 2.81, 4 Ir 2.81
Ca (0.5000, 0.5000, 0.0000)  4 Cr 2.81, 4 Ir 2.81
Cr (0.0000, 0.0000, 0.5000)  4 Cr 2.81, 4 Ir 2.81
Cr (0.0000, 0.5000, 0.0000)  4 Cr 2.81, 4 Ir 2.81
Cr (0.2500, 0.2500, 0.2500)  4 Cr 2.81, 4 Ca 2.81
Cr (0.2500, 0.7500, 0.7500)  4 Cr 2.81, 4 Ca 2.81
Cr (0.5000, 0.0000, 0.0000)  4 Cr 2.81, 4 Ir 2.81
Cr (0.5000, 0.5000, 0.5000)  4 Cr 2.81, 4 Ir 2.81
Cr (0.7500, 0.2500, 0.7500)  4 Cr 2.81, 4 Ca 2.81
Cr (0.7500, 0.7500, 0.2500)  4 Cr 2.81, 4 Ca 2.81
Ir (0.2500, 0.2500, 0.7500)  4 Cr 2.81, 4 Ca 2.81
Ir (0.2500, 0.7500, 0.2500)  4 Cr 2.81, 4 Ca 2.81
Ir (0.7500, 0.2500, 0.2500)  4 Cr 2.81, 4 Ca 2.81
Ir (0.7500, 0.7500, 0.7500)  4 Cr 2.81, 4 Ca 2.81

=====

Record 7
Entry from Alexandria: a geometry-optimized CaCr2Ir structure (PBE).

Results
The calculation puts the formation energy at 0.5115 eV/atom. The value obtained for the calculated total energy is -7.016 eV per atom. The energy above the most stable polymorph in this dataset comes out at 0.283 eV/atom.

a = 2.8899 Å, b = 4.7602 Å, c = 9.8242 Å
α = 90.00°, β = 90.00°, γ = 90.00°
Closest atoms and distances in Å follow each position.
Fractional coordinates of all 8 atoms:
Ca (0.0000, 0.0000, 0.0000)  4 Ir 2.78, 2 Ca 2.89
Ca (0.5000, 0.5000, 0.5000)  4 Ir 2.78, 2 Ca 2.89
Cr (0.0000, 0.5000, 0.2158)  2 Ir 2.57, 4 Cr 2.86
Cr (0.0000, 0.5000, 0.7842)  2 Ir 2.57, 4 Cr 2.86
Cr (0.5000, 0.0000, 0.2842)  2 Ir 2.57, 4 Cr 2.86
Cr (0.5000, 0.0000, 0.7158)  2 Ir 2.57, 4 Cr 2.86
Ir (0.0000, 0.0000, 0.5000)  4 Cr 2.57, 4 Ca 2.78
Ir (0.5000, 0.5000, 0.0000)  4 Cr 2.57, 4 Ca 2.78

=====

Record 8
Entry from Alexandria: a geometry-optimized CaCr2Ir structure (PBE).

Results
The calculation puts the formation energy at 0.3994 eV/atom. The value obtained for the calculated total energy is -7.128 eV per atom. The energy above the most stable polymorph in this dataset comes out at 0.171 eV/atom.

a = 3.0886 Å, b = 4.7916 Å, c = 9.0261 Å
α = 90.00°, β = 90.00°, γ = 90.00°
Closest atoms and distances in Å follow each position.
Fractional coordinates of all 8 atoms:
Ca (0.0000, 0.0000, 0.0000)  8 Cr 2.85-3.11, 4 Ir 2.89-3.16, 2 Ca 3.09
Ca (0.5000, 0.5000, 0.5000)  8 Cr 2.85-3.11, 4 Ir 2.89-3.16, 2 Ca 3.09
Cr (0.0000, 0.0000, 0.5100)  2 Cr 2.44, 2 Ir 2.65
Cr (0.0000, 0.5000, 0.2198)  2 Cr 2.44
Cr (0.5000, 0.0000, 0.7198)  2 Cr 2.44
Cr (0.5000, 0.5000, 0.0100)  2 Cr 2.44, 2 Ir 2.65
Ir (0.0000, 0.5000, 0.7711)  6 Cr 2.65-2.89, 2 Ca 2.89
Ir (0.5000, 0.0000, 0.2711)  6 Cr 2.65-2.89, 2 Ca 2.89

=====

Record 9
Entry from Alexandria: a geometry-optimized NaCa2CrIr structure (PBE).

Results
The calculation puts the formation energy at 1.5694 eV/atom. The value obtained for the calculated total energy is -3.192 eV per atom.

a = 5.2964 Å, b = 5.2964 Å, c = 4.7425 Å
α = 90.00°, β = 90.00°, γ = 90.00°
Closest atoms and distances in Å follow each position.
Fractional coordinates of all 5 atoms:
Na (0.0000, 0.0000, 0.0000)  2 Ir 2.37, 4 Ca 2.65
Ca (0.0000, 0.5000, 0.0000)  2 Na 2.65
Ca (0.5000, 0.0000, 0.0000)  2 Na 2.65
Cr (0.5000, 0.5000, 0.5000)  8 Ca 3.55, 4 Ir 3.75
Ir (0.0000, 0.0000, 0.5000)  2 Na 2.37